Entry 1:
# Li2Ca2Zn3, optimized geometry, DFT PBE
data_Li2Ca2Zn3
_chemical_formula_sum 'Li2 Ca2 Zn3'
_space_group_name_H-M_alt 'P 1'
_space_group_IT_number 1
_cell_length_a 5.642
_cell_length_b 5.642
_cell_length_c 6.822
_cell_angle_alpha 110.25
_cell_angle_beta 110.25
_cell_angle_gamma 49.48
loop_
_space_group_symop_operation_xyz
'x,y,z'
loop_
_atom_site_label
_atom_site_type_symbol
_atom_site_fract_x
_atom_site_fract_y
_atom_site_fract_z
Li1 Li 0.149 0.149 0.253
Li2 Li 0.851 0.851 0.747
Ca1 Ca 0.152 0.152 0.759
Ca2 Ca 0.848 0.848 0.241
Zn1 Zn 0.415 0.415 0.597
Zn2 Zn 0.500 0.500 0.000
Zn3 Zn 0.585 0.585 0.403
# Formation enthalpy at 0 K (kcal/mol of atoms): -3.9
# Crystal system: monoclinic
# E_tot (eV/atom): -1.8348
# Magnetization (μB/cell): 0.00

---

Entry 2:
# LaSnH2, optimized geometry, DFT PBE
data_LaSnH2
_chemical_formula_sum 'La1 Sn1 H2'
_space_group_name_H-M_alt 'P 1'
_space_group_IT_number 1
_cell_length_a 4.595
_cell_length_b 4.595
_cell_length_c 3.667
_cell_angle_alpha 109.15
_cell_angle_beta 109.15
_cell_angle_gamma 74.85
loop_
_space_group_symop_operation_xyz
'x,y,z'
loop_
_atom_site_label
_atom_site_type_symbol
_atom_site_fract_x
_atom_site_fract_y
_atom_site_fract_z
La1 La 0.000 0.000 0.000
Sn1 Sn 0.469 0.469 0.550
H1 H 0.399 0.955 0.632
H2 H 0.955 0.399 0.632
# Crystal system: monoclinic
# E_tot (eV/atom): -4.1299
# Magnetization (μB/cell): 0.00

---

Entry 3:
# Ca4PdI5, optimized geometry, DFT PBE
data_Ca4PdI5
_chemical_formula_sum 'Ca4 Pd1 I5'
_space_group_name_H-M_alt 'P 1'
_space_group_IT_number 1
_cell_length_a 9.980
_cell_length_b 9.980
_cell_length_c 8.895
_cell_angle_alpha 103.13
_cell_angle_beta 103.13
_cell_angle_gamma 25.78
loop_
_space_group_symop_operation_xyz
'x,y,z'
loop_
_atom_site_label
_atom_site_type_symbol
_atom_site_fract_x
_atom_site_fract_y
_atom_site_fract_z
Ca1 Ca 0.000 0.000 0.226
Ca2 Ca 0.000 0.000 0.774
Ca3 Ca 0.349 0.349 0.919
Ca4 Ca 0.651 0.651 0.081
Pd1 Pd 0.500 0.500 0.000
I1 I 0.166 0.166 0.334
I2 I 0.171 0.171 0.837
I3 I 0.500 0.500 0.500
I4 I 0.829 0.829 0.163
I5 I 0.834 0.834 0.666
# Crystal system: monoclinic
# Raw formation energy (eV per atom): -1.295
# E_tot (eV/atom): -3.3901
# Magnetization (μB/cell): 0.00

---

no.,density of states at the Fermi level (states/eV/cell)
1,3.7
2,1.3
3,2.7